[1]
VASP calculation (GGA-PBEsol) on NdAu after structural relaxation.

The structure in extended XYZ format:
```
8
Lattice="7.376 0.000 0.000 0.000 4.738 0.000 0.000 0.000 5.734" Properties=species:S:1:pos:R:3 pbc="T T T"
Nd 1.366 1.185 0.822
Nd 2.322 3.554 3.689
Nd 5.054 1.185 2.045
Nd 6.010 3.554 4.912
Au 0.289 1.185 3.716
Au 3.399 3.554 0.849
Au 3.977 1.185 4.885
Au 7.087 3.554 2.018
```

Summary:
The energy of formation from the pure elements comes out at -0.800 eV per atom.

[2]
VASP calculation (GGA-PBEsol) on NdAu after structural relaxation.

The structure in extended XYZ format:
```
2
Lattice="3.650 0.000 0.000 0.000 3.650 0.000 0.000 0.000 3.650" Properties=species:S:1:pos:R:3 pbc="T T T"
Nd 0.000 0.000 0.000
Au 1.825 1.825 1.825
```

Summary:
The energy of formation from the pure elements comes out at -0.746 eV per atom.

[3]
VASP calculation (GGA-PBEsol) on NdAu6 after structural relaxation.

The structure in extended XYZ format:
```
14
Lattice="3.879 -3.856 0.000 3.879 3.856 0.000 -1.586 0.000 8.899" Properties=species:S:1:pos:R:3 pbc="T T T"
Nd 2.689 2.451 6.674
Nd 3.482 -2.451 2.225
Au 2.557 2.395 1.124
Au 0.620 0.652 5.171
Au 1.413 -0.652 0.721
Au 4.408 2.395 3.326
Au 2.526 0.418 3.226
Au 1.733 -0.418 7.676
Au 4.438 0.418 1.223
Au 3.645 -0.418 5.673
Au 1.763 -2.395 5.573
Au 4.758 0.652 8.178
Au 5.551 -0.652 3.729
Au 3.615 -2.395 7.776
```

Summary:
The energy of formation from the pure elements comes out at -0.423 eV per atom.

[4]
VASP calculation (GGA-PBEsol) on NdSb2Au after structural relaxation.

The structure in extended XYZ format:
```
8
Lattice="4.388 0.000 0.000 0.000 4.388 0.000 0.000 0.000 10.132" Properties=species:S:1:pos:R:3 pbc="T T T"
Nd 1.097 1.097 2.502
Nd 3.291 3.291 7.630
Sb 1.097 1.097 6.870
Sb 1.097 3.291 0.000
Sb 3.291 1.097 0.000
Sb 3.291 3.291 3.262
Au 1.097 3.291 5.066
Au 3.291 1.097 5.066
```

Summary:
The value obtained for the uncorrected formation energy is -752 meV/atom.

[5]
VASP calculation (GGA-PBEsol) on NdSnAu after structural relaxation.

The structure in extended XYZ format:
```
6
Lattice="4.669 0.000 0.000 -2.335 4.044 0.000 0.000 0.000 7.741" Properties=species:S:1:pos:R:3 pbc="T T T"
Nd 0.000 0.000 0.000
Nd 0.000 0.000 3.871
Sn 0.000 2.696 1.935
Sn 2.335 1.348 5.806
Au 0.000 2.696 5.806
Au 2.335 1.348 1.935
```

Summary:
The energy of formation from the pure elements comes out at -0.811 eV per atom.

[6]
VASP calculation (GGA-PBEsol) on NdSnAu after structural relaxation.

The structure in extended XYZ format:
```
6
Lattice="4.708 0.000 0.000 -2.354 4.078 0.000 0.000 0.000 7.513" Properties=species:S:1:pos:R:3 pbc="T T T"
Nd 0.000 0.000 0.000
Nd 0.000 0.000 3.756
Sn 0.000 2.718 2.069
Sn 2.354 1.359 5.825
Au 0.000 2.718 5.142
Au 2.354 1.359 1.385
```

Summary:
The energy of formation from the pure elements comes out at -0.877 eV per atom.

[7]
VASP calculation (GGA-PBEsol) on NdTlAu2 after structural relaxation.

The structure in extended XYZ format:
```
16
Lattice="7.075 0.000 0.000 0.000 7.075 0.000 0.000 0.000 7.075" Properties=species:S:1:pos:R:3 pbc="T T T"
Nd 0.000 0.000 0.000
Nd 0.000 3.537 3.537
Nd 3.537 0.000 3.537
Nd 3.537 3.537 0.000
Tl 0.000 0.000 3.537
Tl 0.000 3.537 0.000
Tl 3.537 0.000 0.000
Tl 3.537 3.537 3.537
Au 1.769 1.769 1.769
Au 1.769 1.769 5.306
Au 1.769 5.306 1.769
Au 1.769 5.306 5.306
Au 5.306 1.769 1.769
Au 5.306 1.769 5.306
Au 5.306 5.306 1.769
Au 5.306 5.306 5.306
```

Summary:
The energy of formation from the pure elements comes out at -0.572 eV per atom.

[8]
VASP calculation (GGA-PBEsol) on Ni3Au4 after structural relaxation.

The structure in extended XYZ format:
```
14
Lattice="2.845 0.000 0.000 0.000 2.845 0.000 0.000 0.000 24.444" Properties=species:S:1:pos:R:3 pbc="T T T"
Ni 0.000 0.000 0.000
Ni 0.000 0.000 6.740
Ni 0.000 0.000 17.705
Ni 1.423 1.423 5.483
Ni 1.423 1.423 12.222
Ni 1.423 1.423 18.962
Au 0.000 0.000 3.776
Au 0.000 0.000 10.540
Au 0.000 0.000 13.904
Au 0.000 0.000 20.668
Au 1.423 1.423 1.682
Au 1.423 1.423 8.446
Au 1.423 1.423 15.998
Au 1.423 1.423 22.762
```

Summary:
The energy of formation from the pure elements comes out at 0.067 eV per atom.

no.,DOS at the Fermi energy (states/eV per atom),total magnetic moment (μB per formula unit),raw total energy (eV per atom)
1,0.587,0.000,-5.35
2,0.747,0.000,-5.29
3,0.401,0.000,-4.52
4,0.349,0.000,-5.30
5,0.389,0.001,-5.26
6,0.122,0.000,-5.33
7,0.431,0.000,-4.48
8,1.027,0.970,-4.81